## A
Density functional theory data (PBE-GGA) for a geometry-optimized TaCrPb2 structure.

Computed properties:
Magnetic moment, μB/atom: 0.64
Space-group type: I-42d (122)
Theoretical density, g cm⁻³: 11.43

Lattice parameters (Å, degrees): 10.6225 10.6225 10.6225 156.65 156.65 33.26
Closest atoms and distances in Å follow each position.
Element x y z (fractional)
Ta1 0.0000 0.0000 0.0000  4 Pb 2.97, 4 Cr 3.04
Ta2 0.7500 0.2500 0.5000  4 Pb 2.97, 4 Cr 3.04
Cr1 0.2500 0.7500 0.5000  4 Pb 2.96, 4 Ta 3.04
Cr2 0.5000 0.5000 0.0000  4 Pb 2.96, 4 Ta 3.04
Pb1 0.1259 0.6250 0.0009  2 Cr 2.96, 2 Ta 2.97, 4 Pb 3.03-3.05
Pb2 0.3750 0.3759 0.5009  2 Cr 2.96, 2 Ta 2.97, 4 Pb 3.03-3.05
Pb3 0.6241 0.1250 0.9991  2 Cr 2.96, 2 Ta 2.97, 4 Pb 3.03-3.05
Pb4 0.8750 0.8741 0.4991  2 Cr 2.96, 2 Ta 2.97, 4 Pb 3.03-3.05

## B
Density functional theory data (PBE-GGA) for a geometry-optimized TaCrPb2 structure.

Computed properties:
Magnetic moment, μB/atom: 1.01
Space-group type: P4/mmm (123)
Theoretical density, g cm⁻³: 12.27

Lattice parameters (Å, degrees): 3.2136 3.2136 8.4825 90.00 90.00 90.00
Closest atoms and distances in Å follow each position.
Element x y z (fractional)
Ta1 0.0000 0.0000 0.0000  8 Pb 3.15, 4 Ta 3.21
Cr1 0.0000 0.0000 0.5000  8 Pb 3.07, 4 Cr 3.21
Pb1 0.5000 0.5000 0.2566  4 Cr 3.07, 4 Ta 3.15, 4 Pb 3.21
Pb2 0.5000 0.5000 0.7434  4 Cr 3.07, 4 Ta 3.15, 4 Pb 3.21

The structure with the least stability is A.

## A
Density functional theory data (PBE-GGA) for a geometry-optimized TaCrPb structure.

Computed properties:
Magnetic moment, μB/atom: 0.40
Space-group type: I4mm (107)
Theoretical density, g cm⁻³: 13.08

Lattice parameters (Å, degrees): 5.6081 5.6081 5.6081 145.65 145.65 49.37
Closest atoms and distances in Å follow each position.
Element x y z (fractional)
Ta1 0.0000 0.0000 0.0000  4 Cr 2.65
Cr1 0.3793 0.3793 0.0000  4 Ta 2.65
Pb1 0.6987 0.6987 0.0000  5 Cr 2.98-3.26, 5 Ta 3.07-3.10, 4 Pb 3.31

## B
Density functional theory data (PBE-GGA) for a geometry-optimized TaCrPb structure.

Computed properties:
Magnetic moment, μB/atom: 0.46
Space-group type: P3m1 (156)
Theoretical density, g cm⁻³: 13.22

Lattice parameters (Å, degrees): 4.5911 4.5911 3.0285 90.00 90.00 120.00
Closest atoms and distances in Å follow each position.
Element x y z (fractional)
Ta1 0.0000 0.0000 0.0000  3 Cr 2.81, 6 Pb 3.00-3.11, 2 Ta 3.03
Cr1 0.6667 0.3333 0.3055  3 Pb 2.74, 3 Ta 2.81, 2 Cr 3.03
Pb1 0.3333 0.6667 0.5344  3 Cr 2.74, 3 Ta 3.00, 2 Pb 3.03

## C
Density functional theory data (PBE-GGA) for a geometry-optimized TaCrPb structure.

Computed properties:
Magnetic moment, μB/atom: 0.28
Space-group type: Fmm2 (42)
Theoretical density, g cm⁻³: 12.67

Lattice parameters (Å, degrees): 7.1713 6.9092 3.0605 82.29 72.70 25.02
Closest atoms and distances in Å follow each position.
Element x y z (fractional)
Ta1 0.0000 0.0000 0.0000  2 Cr 2.48
Cr1 0.6361 0.6361 0.3639  2 Ta 2.48
Pb1 0.3075 0.3075 0.6925  2 Cr 2.85, 4 Pb 3.06, 2 Ta 3.08

The structure with the least stability is B.

## A
Density functional theory data (PBE-GGA) for a geometry-optimized TaCrPb structure.

Computed properties:
Magnetic moment, μB/atom: 0.19
Space-group type: F-43m (216)
Theoretical density, g cm⁻³: 11.88

Lattice parameters (Å, degrees): 4.4305 4.4305 4.4305 60.00 60.00 60.00
Closest atoms and distances in Å follow each position.
Element x y z (fractional)
Ta1 0.0000 0.0000 0.0000  4 Cr 2.71
Cr1 0.2500 0.2500 0.2500  4 Ta 2.71, 4 Pb 2.71
Pb1 0.5000 0.5000 0.5000  4 Cr 2.71

## B
Density functional theory data (PBE-GGA) for a geometry-optimized TaCrPb structure.

Computed properties:
Magnetic moment, μB/atom: 1.03
Space-group type: P3m1 (156)
Theoretical density, g cm⁻³: 12.15

Lattice parameters (Å, degrees): 3.1271 3.1271 7.1056 90.00 90.00 120.00
Closest atoms and distances in Å follow each position.
Element x y z (fractional)
Ta1 0.0000 0.0000 0.0000  3 Cr 2.73
Cr1 0.6667 0.3333 0.2880  3 Ta 2.73
Pb1 0.3333 0.6667 0.6375  3 Cr 3.07, 6 Pb 3.13, 3 Ta 3.15

The structure with the least stability is A.

## A
Density functional theory data (PBE-GGA) for a geometry-optimized Cr2TcPb structure.

Computed properties:
Magnetic moment, μB/atom: 1.22
Space-group type: P4/mmm (123)
Theoretical density, g cm⁻³: 10.35

Lattice parameters (Å, degrees): 4.1637 4.1637 3.7883 90.00 90.00 90.00
Closest atoms and distances in Å follow each position.
Element x y z (fractional)
Cr1 0.0000 0.5000 0.0000  4 Pb 2.81, 4 Tc 2.81, 4 Cr 2.94
Cr2 0.5000 0.0000 0.0000  4 Pb 2.81, 4 Tc 2.81, 4 Cr 2.94
Tc1 0.0000 0.0000 0.5000  8 Cr 2.81, 4 Pb 2.94
Pb1 0.5000 0.5000 0.5000  8 Cr 2.81, 4 Tc 2.94

## B
Density functional theory data (PBE-GGA) for a geometry-optimized Cr2TcPb structure.

Computed properties:
Magnetic moment, μB/atom: 0.14
Space-group type: Imm2 (44)
Theoretical density, g cm⁻³: 10.75

Lattice parameters (Å, degrees): 5.1587 5.1587 5.1587 143.59 128.18 64.98
Closest atoms and distances in Å follow each position.
Element x y z (fractional)
Cr1 0.0000 0.0000 0.0000  2 Cr 2.49
Cr2 0.7817 0.2817 0.5000  2 Cr 2.49, 2 Tc 2.66, 4 Pb 2.77
Tc1 0.5379 0.5379 0.0000  6 Cr 2.66-2.79, 2 Pb 2.86
Pb1 0.2665 0.7665 0.5000  8 Cr 2.77-3.03, 4 Tc 2.86-3.01

The structure with the least stability is A.